[1]
{"formula": "TcNi3Te", "functional": "PBE", "state": "relaxed", "lattice": [[-4.1004, -0.8720, 1.6785], [0.4943, -4.3619, -1.0585], [1.8257, -0.7774, 4.0562]], "species": ["Ni", "Ni", "Ni", "Te", "Tc"], "frac_coords": [[0.0000, 0.5000, 0.0000], [0.0000, 0.0000, 0.5000], [0.5000, 0.0000, 0.0000], [0.5000, 0.5000, 0.5000], [0.0000, 0.0000, 0.0000]], "polymorph_energy_ev_per_fu": 0.00, "final_energy_ev_per_atom": -5.010, "space_group": "Pm-3m, No. 221", "m_tot_mub_per_cell": 0.0}



[2]
{"formula": "TcNiTe", "functional": "PBE", "state": "relaxed", "lattice": [[-3.7426, -1.4754, 1.4299], [-0.3819, -1.2782, 4.0557], [-2.2926, 2.3134, 2.7605]], "species": ["Ni", "Tc", "Te"], "frac_coords": [[0.5000, 0.5000, 0.5000], [0.7500, 0.7500, 0.7500], [0.0000, 0.0000, 0.0000]], "polymorph_energy_ev_per_fu": 0.00, "final_energy_ev_per_atom": -6.155, "space_group": "F-43m, No. 216", "m_tot_mub_per_cell": 0.0}



[3]
{"formula": "TcNi4Te", "functional": "PBE", "state": "relaxed", "lattice": [[3.8859, 0.0472, 2.8697], [0.5938, 3.5669, 3.2034], [-0.4749, -0.8921, 4.7240]], "species": ["Tc", "Ni", "Ni", "Ni", "Ni", "Te"], "frac_coords": [[0.7500, 0.7500, 0.7500], [0.8724, 0.3759, 0.3759], [0.3759, 0.3759, 0.8724], [0.3759, 0.8724, 0.3759], [0.3759, 0.3759, 0.3759], [0.0000, 0.0000, 0.0000]], "final_energy_ev_per_atom": -5.831, "space_group": "F-43m, No. 216", "m_tot_mub_per_cell": 3.2}



[4]
{"formula": "Tc4NiTe", "functional": "PBE", "state": "relaxed", "lattice": [[0.0000, 3.6644, 3.6644], [3.6644, 0.0000, 3.6644], [3.6644, 3.6644, 0.0000]], "species": ["Tc", "Tc", "Tc", "Tc", "Ni", "Te"], "frac_coords": [[0.8786, 0.3738, 0.3738], [0.3738, 0.3738, 0.8786], [0.3738, 0.8786, 0.3738], [0.3738, 0.3738, 0.3738], [0.0000, 0.0000, 0.0000], [0.7500, 0.7500, 0.7500]], "final_energy_ev_per_atom": -7.724, "space_group": "F-43m, No. 216", "m_tot_mub_per_cell": 0.6}



[5]
{"formula": "Th8Tc3NiTe4", "functional": "PBE", "state": "relaxed", "lattice": [[8.3373, 0.0000, 0.0000], [0.0000, 9.0797, 0.5090], [-4.1687, -4.1604, 5.9014]], "species": ["Th", "Th", "Th", "Th", "Th", "Th", "Th", "Th", "Tc", "Tc", "Tc", "Ni", "Te", "Te", "Te", "Te"], "frac_coords": [[0.2349, 0.6986, 0.9638], [0.2351, 0.6987, 0.4702], [0.2656, 0.2969, 0.5312], [0.7290, 0.6986, 0.9638], [0.2710, 0.3014, 0.0362], [0.7344, 0.7031, 0.4688], [0.7649, 0.3013, 0.5298], [0.7651, 0.3014, 0.0362], [0.5000, 0.5000, 0.0000], [0.5000, 0.5000, 0.5000], [0.0000, 0.5000, 0.5000], [0.0000, 0.5000, 0.0000], [0.5000, 0.0000, 0.0000], [0.5000, 0.0000, 0.5000], [0.0000, 0.0000, 0.0000], [0.0000, 0.0000, 0.5000]], "final_energy_ev_per_atom": -7.466, "space_group": "R-3m, No. 166", "m_tot_mub_per_cell": 0.0}



[6]
{"formula": "TcNiTe2W", "functional": "PBE", "state": "relaxed", "lattice": [[4.9078, 0.0000, 0.0000], [0.0000, 4.5454, 0.0000], [0.0000, 0.0000, 4.9078]], "species": ["Ni", "Te", "Te", "Tc", "W"], "frac_coords": [[0.0000, 0.0000, 0.0000], [0.0000, 0.0000, 0.5000], [0.5000, 0.0000, 0.0000], [0.5000, 0.5000, 0.5000], [0.0000, 0.5000, 0.0000]], "final_energy_ev_per_atom": -5.648, "space_group": "P4/mmm, No. 123", "m_tot_mub_per_cell": 1.2}



[7]
{"formula": "Th8Tc2Ni", "functional": "PBE", "state": "relaxed", "lattice": [[-6.1441, -0.1530, 1.2051], [0.5054, -4.2247, -6.5746], [3.0510, -2.9985, 6.5596]], "species": ["Th", "Th", "Th", "Th", "Th", "Th", "Th", "Th", "Tc", "Tc", "Ni"], "frac_coords": [[0.5948, 0.3695, 0.1095], [0.5948, 0.1095, 0.3695], [0.1625, 0.3444, 0.3444], [0.9814, 0.1916, 0.7856], [0.9814, 0.7856, 0.1916], [0.8001, 0.6569, 0.6569], [0.3652, 0.8998, 0.6490], [0.3652, 0.6490, 0.8998], [0.4708, 0.7055, 0.3127], [0.4708, 0.3127, 0.7055], [0.2128, 0.0094, 0.0094]], "final_energy_ev_per_atom": -7.830, "space_group": "Cm, No. 8", "m_tot_mub_per_cell": 0.0, "e_form_ev_per_fu": -0.26}



[8]
{"formula": "Th12Tc5Ni3", "functional": "PBE", "state": "relaxed", "lattice": [[-7.6738, 7.0096, -9.8921], [4.3541, -12.5796, -5.3544], [-8.1162, -2.2946, 11.6076]], "species": ["Ni", "Ni", "Ni", "Ni", "Ni", "Ni", "Ni", "Ni", "Ni", "Ni", "Ni", "Ni", "Tc", "Tc", "Tc", "Tc", "Tc", "Tc", "Tc", "Tc", "Tc", "Tc", "Tc", "Tc", "Tc", "Tc", "Tc", "Tc", "Tc", "Tc", "Tc", "Tc", "Th", "Th", "Th", "Th", "Th", "Th", "Th", "Th", "Th", "Th", "Th", "Th", "Th", "Th", "Th", "Th", "Th", "Th", "Th", "Th", "Th", "Th", "Th", "Th", "Th", "Th", "Th", "Th", "Th", "Th", "Th", "Th", "Th", "Th", "Th", "Th", "Th", "Th", "Th", "Th", "Th", "Th", "Th", "Th", "Th", "Th", "Th", "Th"], "frac_coords": [[0.7500, 0.3750, 0.1250], [0.8750, 0.7500, 0.1250], [0.3750, 0.7500, 0.6250], [0.2500, 0.1250, 0.3750], [0.8750, 0.1250, 0.2500], [0.3750, 0.6250, 0.2500], [0.6250, 0.3750, 0.7500], [0.1250, 0.8750, 0.7500], [0.7500, 0.8750, 0.6250], [0.6250, 0.2500, 0.3750], [0.1250, 0.2500, 0.8750], [0.2500, 0.6250, 0.8750], [0.1250, 0.3750, 0.2500], [0.0000, 0.5000, 0.0000], [0.0000, 0.0000, 0.0000], [0.3750, 0.2500, 0.1250], [0.5000, 0.0000, 0.5000], [0.5000, 0.5000, 0.0000], [0.1250, 0.7500, 0.3750], [0.7500, 0.1250, 0.8750], [0.7500, 0.6250, 0.3750], [0.3750, 0.1250, 0.7500], [0.6250, 0.8750, 0.2500], [0.5000, 0.5000, 0.5000], [0.5000, 0.0000, 0.0000], [0.0000, 0.0000, 0.5000], [0.2500, 0.3750, 0.6250], [0.2500, 0.8750, 0.1250], [0.0000, 0.5000, 0.5000], [0.8750, 0.2500, 0.6250], [0.6250, 0.7500, 0.8750], [0.8750, 0.6250, 0.7500], [0.7190, 0.1311, 0.0427], [0.3238, 0.5427, 0.4117], [0.9573, 0.3689, 0.2810], [0.5427, 0.2190, 0.1311], [0.5879, 0.7190, 0.6762], [0.9573, 0.5883, 0.1762], [0.3238, 0.7810, 0.4121], [0.0883, 0.9121, 0.1311], [0.5883, 0.9573, 0.6762], [0.7190, 0.5879, 0.1762], [0.7810, 0.4573, 0.3689], [0.8238, 0.9117, 0.0427], [0.1311, 0.7190, 0.5427], [0.3689, 0.4117, 0.0879], [0.0879, 0.9117, 0.3689], [0.4121, 0.1311, 0.5883], [0.0879, 0.1762, 0.2190], [0.4573, 0.6762, 0.0883], [0.8238, 0.9121, 0.2810], [0.1311, 0.4121, 0.0883], [0.3689, 0.9573, 0.7810], [0.5883, 0.6311, 0.4121], [0.9117, 0.8238, 0.5427], [0.7810, 0.3238, 0.9121], [0.4117, 0.3689, 0.5879], [0.0883, 0.1762, 0.4573], [0.2190, 0.6762, 0.0879], [0.1762, 0.0879, 0.7190], [0.6311, 0.0427, 0.2190], [0.8689, 0.5879, 0.9117], [0.5427, 0.3238, 0.9117], [0.5879, 0.8689, 0.4117], [0.9121, 0.8238, 0.7810], [0.9121, 0.0883, 0.6311], [0.8689, 0.2810, 0.4573], [0.1762, 0.0883, 0.9573], [0.6311, 0.5883, 0.9121], [0.4117, 0.0427, 0.3238], [0.2810, 0.4121, 0.8238], [0.2190, 0.5427, 0.6311], [0.9117, 0.0879, 0.8689], [0.6762, 0.2190, 0.5879], [0.4573, 0.7810, 0.8689], [0.0427, 0.4117, 0.8238], [0.4121, 0.2810, 0.3238], [0.0427, 0.6311, 0.7190], [0.6762, 0.4573, 0.5883], [0.2810, 0.8689, 0.9573]], "final_energy_ev_per_atom": -7.746, "space_group": "Ia-3d, No. 230", "m_tot_mub_per_cell": 0.0, "e_form_ev_per_fu": 3.30}